A plane-wave DFT calculation with GGA-PBE was carried out for an optimized crystal structure of TaBe.

a = 3.130 Å, b = 3.130 Å, c = 2.744 Å
α = 90.00°, β = 90.00°, γ = 90.00°
Atoms (fractional coordinates):
Ta 0.000 0.000 0.000
Be 0.500 0.500 0.500

## Properties
relative energy among the computed polymorphs: 281 meV per atom
crystal system: tetragonal
space group: P4/mmm, No. 123
calculated total energy: -15.39 eV per cell
calculated formation energy: 0.095 eV/atom



A plane-wave DFT calculation with GGA-PBE was carried out for an optimized crystal structure of TaBe5.

a = 2.688 Å, b = 2.688 Å, c = 8.269 Å
α = 90.00°, β = 90.00°, γ = 90.00°
Atoms (fractional coordinates):
Ta 0.000 0.000 0.000
Be 0.000 0.000 0.355
Be 0.000 0.000 0.645
Be 0.500 0.500 0.219
Be 0.500 0.500 0.500
Be 0.500 0.500 0.781

## Properties
crystal system: tetragonal
space group: P4/mmm, No. 123
calculated total energy: -30.34 eV per cell
calculated formation energy: 0.024 eV/atom